Entry 1:
Computed, not measured: a relaxed K3Tb2InO6 crystal at the PBE level of DFT.

Geometry as extended XYZ:
```
12
Lattice="-2.512 5.402 0.574 -2.521 -4.111 -3.544 -1.716 -2.519 5.823" Properties=species:S:1:pos:R:3 pbc="T T T"
Tb -2.515 2.232 -0.798
Tb -2.518 -0.942 -2.172
In 0.000 0.000 0.000
K -3.371 2.584 2.811
K -3.374 -0.615 1.427
K -3.377 -3.813 0.042
O -4.016 0.475 -1.088
O -5.282 0.516 3.108
O -2.733 -1.704 3.942
O -5.285 -2.611 1.755
O -1.464 1.382 1.099
O -1.467 -1.745 -0.255
```

## Properties
**D(E_F)**: 0.00 states/eV per cell
**Total energy**: -6.084 eV/atom
**E_form (uncorrected)**: -2.331 eV per atom

Entry 2:
Computed, not measured: a relaxed NaY3Ga crystal at the PBE level of DFT.

Geometry as extended XYZ:
```
5
Lattice="5.602 0.000 0.000 0.000 5.602 0.000 0.000 0.000 5.602" Properties=species:S:1:pos:R:3 pbc="T T T"
Y 0.000 2.801 0.000
Y 0.000 0.000 2.801
Y 2.801 0.000 0.000
Ga 0.000 0.000 0.000
Na 2.801 2.801 2.801
```

## Properties
**D(E_F)**: 5.56 states/eV per cell
**Total energy**: -4.614 eV/atom
**Formation energy**: 65 kJ/mol of formula units

Entry 3:
Computed, not measured: a relaxed Nb3Hg2Cl10 crystal at the PBE level of DFT.

Geometry as extended XYZ:
```
30
Lattice="-9.969 -7.073 2.493 -6.755 -9.720 -3.941 2.734 -8.317 4.787" Properties=species:S:1:pos:R:3 pbc="T T T"
Cl -8.228 -15.912 0.052
Cl -3.377 -4.860 -1.970
Cl -1.733 -9.910 3.210
Cl -7.934 -11.782 3.549
Cl -7.527 -9.490 0.143
Cl -1.504 -4.373 1.048
Cl 1.852 -7.129 3.858
Cl -6.633 -19.071 2.133
Cl -5.669 -7.429 -2.174
Cl -6.056 -13.328 -0.210
Cl -7.357 -6.039 1.206
Cl -4.985 -3.537 1.247
Cl -12.486 -20.737 2.292
Cl -6.463 -15.620 3.196
Cl -8.321 -17.681 5.513
Cl -9.906 -14.531 3.411
Cl -12.257 -15.200 0.129
Cl -15.842 -17.981 -0.518
Cl -5.762 -9.198 3.288
Cl -4.084 -10.580 -0.071
Nb -9.158 -7.741 0.870
Nb -7.566 -9.052 -2.317
Nb -14.060 -19.443 0.973
Nb -13.690 -13.894 -1.124
Nb -0.300 -11.216 4.463
Nb 0.070 -5.667 2.366
Hg -10.189 -17.839 2.248
Hg -3.801 -7.271 1.092
Hg -4.367 -12.469 2.947
Hg -9.623 -12.642 0.393
```

## Properties
**D(E_F)**: 13.37 states/eV per cell
**Total energy**: -4.180 eV/atom
**E_form (uncorrected)**: -0.894 eV per atom